Entry 1:
Y3Ho6Er2Mg (PBE, optimized geometry); energy relative to the elements = 0.035 eV/atom; symmetry = No. 12
1.0
-3.702 4.807 -0.628
2.315 -2.735 -4.936
-8.564 -7.695 1.512
Ho Er Y Mg
6 2 3 1
Direct
0.252 0.252 0.753
0.585 0.919 0.754
0.081 0.415 0.246
0.919 0.585 0.754
0.415 0.081 0.246
0.748 0.748 0.247
0.666 0.334 0.000
0.334 0.666 0.000
0.500 0.500 0.500
0.834 0.166 0.500
0.166 0.834 0.500
0.000 0.000 0.000

---

Entry 2:
K3PaSe2O8 (PBE, optimized geometry); raw formation energy = -24.42 eV/f.u.; symmetry = No. 164
1.0
-1.463 -0.826 6.191
5.933 -1.257 -2.090
2.026 7.174 1.436
O K Pa Se
8 3 1 2
Direct
0.844 0.688 0.676
0.156 0.312 0.324
0.156 0.844 0.324
0.844 0.156 0.676
0.667 0.333 0.917
0.688 0.844 0.324
0.333 0.667 0.083
0.312 0.156 0.676
0.667 0.333 0.248
0.000 0.000 0.000
0.333 0.667 0.752
0.000 0.000 0.500
0.667 0.333 0.698
0.333 0.667 0.302

---

Entry 3:
B4C (PBE, optimized geometry); polymorph energy (0 for the lowest one) = 460 meV/atom; energy relative to the elements = 0.358 eV/atom; symmetry = No. 15
1.0
-1.478 1.297 2.745
-1.108 -2.918 2.859
3.974 -0.205 4.314
B C
8 2
Direct
0.802 0.412 0.963
0.198 0.588 0.037
0.097 0.647 0.717
0.177 0.088 0.537
0.823 0.912 0.463
0.538 0.147 0.217
0.462 0.853 0.783
0.903 0.353 0.283
0.857 0.750 0.250
0.143 0.250 0.750

---

Entry 4:
NaCa2AcIr (PBE, optimized geometry); energy relative to the elements = -0.250 eV/atom; symmetry = No. 123
1.0
5.763 0.000 0.000
0.000 5.704 0.000
0.000 0.000 5.704
Ir Na Ac Ca
1 1 1 2
Direct
0.000 0.000 0.000
0.500 0.500 0.500
0.500 0.000 0.000
0.000 0.000 0.500
0.000 0.500 0.000

---

Entry 5:
Na3Ag2F6 (PBE, optimized geometry); raw formation energy = -21.17 eV/f.u.; polymorph energy (0 for the lowest one) = 32 meV/atom; symmetry = No. 166
1.0
-2.783 1.929 0.969
-1.731 -0.774 2.968
7.518 9.557 8.968
F Na Ag
6 3 2
Direct
0.806 0.806 0.583
0.915 0.915 0.256
0.638 0.638 0.086
0.194 0.194 0.417
0.085 0.085 0.744
0.362 0.362 0.914
0.276 0.276 0.172
0.000 0.000 0.000
0.724 0.724 0.828
0.548 0.548 0.357
0.452 0.452 0.643

---

Entry 6:
RbHf2C (PBE, optimized geometry); energy relative to the elements = 0.668 eV/atom; symmetry = No. 227
1.0
6.980 0.000 0.000
0.000 6.980 0.000
3.490 3.490 4.940
Hf C Rb
4 2 2
Direct
0.375 0.625 0.250
0.375 0.125 0.250
0.375 0.625 0.750
0.875 0.625 0.750
0.500 0.500 0.000
0.250 0.750 0.500
0.000 0.000 0.000
0.750 0.250 0.500

---

Entry 7:
K5NaHg (PBE, optimized geometry); polymorph energy (0 for the lowest one) = 0 meV/atom; energy relative to the elements = -0.055 eV/atom; symmetry = No. 15
1.0
-4.946 1.882 -5.744
7.645 -0.360 -6.700
-3.069 -10.190 4.767
K Hg Na
10 2 2
Direct
0.582 0.218 0.164
0.610 0.111 0.721
0.890 0.890 0.279
0.750 0.651 0.500
0.250 0.349 0.500
0.918 0.554 0.836
0.110 0.110 0.721
0.082 0.446 0.164
0.390 0.889 0.279
0.418 0.782 0.836
0.250 0.764 0.500
0.750 0.236 0.500
0.500 0.500 0.000
0.000 0.000 0.000

---

Entry 8:
SrTl2Au (PBE, optimized geometry); energy relative to the elements = -0.367 eV/atom; symmetry = No. 11
1.0
-4.538 2.827 -0.873
-3.631 -5.307 1.688
1.077 3.473 5.647
Au Tl Sr
2 4 2
Direct
0.250 0.615 0.728
0.750 0.385 0.272
0.250 0.076 0.896
0.750 0.819 0.572
0.250 0.181 0.428
0.750 0.924 0.104
0.750 0.373 0.772
0.250 0.627 0.228

---

Entry 9:
Pm2PuRu2 (PBE, optimized geometry); polymorph energy (0 for the lowest one) = 0 meV/atom; energy relative to the elements = -0.288 eV/atom; symmetry = No. 15
1.0
5.813 0.109 0.912
2.651 5.175 0.912
0.067 0.042 7.898
Pu Pm Ru
2 4 4
Direct
0.880 0.120 0.750
0.120 0.880 0.250
0.526 0.777 0.849
0.474 0.223 0.151
0.223 0.474 0.651
0.777 0.526 0.349
0.004 0.734 0.010
0.996 0.266 0.990
0.266 0.996 0.490
0.734 0.004 0.510

---

Entry 10:
Li4AcHg12 (PBE, optimized geometry); energy relative to the elements = -0.167 eV/atom; symmetry = No. 204
1.0
-4.045 7.172 -0.589
-0.575 -2.857 7.723
7.944 1.156 -1.922
Hg Li Ac
12 4 1
Direct
0.841 0.344 0.185
0.504 0.159 0.344
0.159 0.656 0.815
0.841 0.656 0.496
0.656 0.496 0.841
0.185 0.841 0.344
0.344 0.504 0.159
0.159 0.344 0.504
0.496 0.841 0.656
0.344 0.185 0.841
0.656 0.815 0.159
0.815 0.159 0.656
0.500 0.000 0.000
0.000 0.000 0.500
0.500 0.500 0.500
0.000 0.500 0.000
0.000 0.000 0.000

---

Entry 11:
Pm6MgAl (PBE, optimized geometry); energy relative to the elements = -0.083 eV/atom; symmetry = No. 123
1.0
-4.130 -2.400 -1.243
2.599 -4.150 -0.621
-1.485 -2.346 9.463
Pm Al Mg
6 1 1
Direct
0.500 0.500 0.000
0.500 0.000 0.741
0.000 0.500 0.741
0.500 0.500 0.500
0.000 0.500 0.259
0.500 0.000 0.259
0.000 0.000 0.500
0.000 0.000 0.000

---

Entry 12:
MgRhAu2 (PBE, optimized geometry); energy relative to the elements = -0.247 eV/atom; symmetry = No. 99
1.0
3.346 0.000 0.000
0.000 3.346 0.000
0.000 0.000 6.022
Rh Au Mg
1 2 1
Direct
0.500 0.500 0.738
0.500 0.500 0.258
0.000 0.000 0.991
0.000 0.000 0.513

---

Question: Which formula does entry 11 have?
Answer: Pm6MgAl

---

Question: Which formula does entry 4 have?
Answer: NaCa2AcIr